Record 1
Compound: SiHg
Source: Alexandria
Functional: PBE
Structure: relaxed

Cell: 3.6074 4.0632 11.7917 Å, 90.00 90.00 90.00°
With the nearest neighbours (Å) after each atom.
Space group Imma (No. 74)
Asymmetric unit:
Si  0.0000  0.2500  0.1834 [4 per cell]  2 Si 2.39
Hg  0.0000  0.2500  0.5979 [4 per cell]  4 Si 2.90, 2 Hg 3.08

* total energy: -2.418 eV per atom
* raw formation energy: 0.44 eV/atom
* relative energy among the computed polymorphs: 0.299 eV per atom


Record 2
Compound: Tm4CdIn3
Source: Alexandria
Functional: PBE
Structure: relaxed

Cell: 3.7162 3.7162 14.8218 Å, 90.00 90.00 90.00°
With the nearest neighbours (Å) after each atom.
Space group P4/mmm (No. 123)
Asymmetric unit:
Tm  0.0000  0.0000  0.1219 [2 per cell]  4 Cd 3.19, 4 In 3.21
Tm  0.0000  0.0000  0.3737 [2 per cell]  8 In 3.23
Cd  0.5000  0.5000  0.0000 [1 per cell]  8 Tm 3.19
In  0.5000  0.5000  0.2469 [2 per cell]  8 Tm 3.21-3.23
In  0.5000  0.5000  0.5000 [1 per cell]  8 Tm 3.23

* total energy: -3.777 eV per atom
* E_form: -3.2 eV per formula unit
* relative energy among the computed polymorphs: 0.000 eV per atom


Record 3
Compound: LiMnSi
Source: Alexandria
Functional: PBE
Structure: relaxed

Cell: 5.7924 5.7924 5.7924 Å, 90.00 90.00 90.00°
With the nearest neighbours (Å) after each atom.
Space group F-43m (No. 216)
Asymmetric unit:
Li  0.0000  0.0000  0.0000 [4 per cell]  4 Si 2.51
Mn  0.0000  0.0000  0.5000 [4 per cell]  4 Si 2.51
Si  0.2500  0.2500  0.7500 [4 per cell]  4 Mn 2.51, 4 Li 2.51

* total energy: -5.414 eV per atom
* raw formation energy: 0.09 eV/atom


Record 4
Compound: BaLiAg2
Source: Alexandria
Functional: PBE
Structure: relaxed

Cell: 8.2126 4.7340 6.3621 Å, 90.00 115.36 90.00°
With the nearest neighbours (Å) after each atom.
Space group Cm (No. 8)
Asymmetric unit:
Ba  0.0000  0.0000  0.0000 [2 per cell]  1 Li 3.28, 4 Ag 3.44-3.58
Li  0.3094  0.5000  0.4291 [2 per cell]  6 Ag 2.74-2.91
Ag  0.1990  0.0000  0.5978 [2 per cell]  3 Ag 2.84, 3 Li 2.90-2.91
Ag  0.4870  0.0000  0.4619 [2 per cell]  3 Li 2.74, 3 Ag 2.84

* total energy: -2.569 eV per atom
* E_form: -0.7 eV per formula unit
* relative energy among the computed polymorphs: 0.062 eV per atom


Record 5
Compound: PuPBr
Source: Alexandria
Functional: PBE
Structure: relaxed

Cell: 14.7118 4.1939 4.9470 Å, 90.00 90.00 90.00°
With the nearest neighbours (Å) after each atom.
Space group Pnma (No. 62)
Asymmetric unit:
Pu  0.1126  0.2500  0.1440 [4 per cell]  4 P 2.88-3.06, 4 Br 3.03-3.10
P  0.0008  0.2500  0.6230 [4 per cell]  2 P 2.42
Br  0.2358  0.2500  0.6351 [4 per cell]  4 Pu 3.03-3.10, 4 Br 3.27

* total energy: -8.010 eV per atom
* raw formation energy: -0.87 eV/atom
* relative energy among the computed polymorphs: 0.239 eV per atom


Record 6
Compound: Ca3Pm3MgS8
Source: Alexandria
Functional: PBE
Structure: relaxed

Cell: 7.9957 7.9957 19.7693 Å, 90.00 90.00 120.00°
With the nearest neighbours (Å) after each atom.
Space group R-3m (No. 166, hexagonal axes)
Asymmetric unit:
Ca  0.0000  0.5000  0.0000 [9 per cell]  6 S 2.83-2.85
Pm  0.0000  0.5000  0.5000 [9 per cell]  6 S 2.83-2.84
Mg  0.0000  0.0000  0.5000 [3 per cell]  6 S 2.68
S  0.0000  0.0000  0.2505 [6 per cell]  3 Ca 2.83, 3 Pm 2.84
S  0.0166  0.5083  0.2449 [18 per cell]  1 Mg 2.68, 2 Pm 2.83, 2 Ca 2.85

* total energy: -5.632 eV per atom
* raw formation energy: -1.97 eV/atom


Record 7
Compound: PaTi2N
Source: Alexandria
Functional: PBE
Structure: relaxed

Cell: 3.0247 3.0247 23.9878 Å, 90.00 90.00 120.00°
With the nearest neighbours (Å) after each atom.
Space group R-3m (No. 166, hexagonal axes)
Asymmetric unit:
Pa  0.0000  0.0000  0.0000 [3 per cell]  2 Ti 2.85, 6 Pa 3.02
Ti  0.0000  0.0000  0.1189 [6 per cell]  3 N 2.09
N  0.0000  0.0000  0.5000 [3 per cell]  6 Ti 2.09

* total energy: -9.099 eV per atom
* raw formation energy: -0.70 eV/atom
* relative energy among the computed polymorphs: 0.000 eV per atom


Record 8
Compound: ReRhSe2
Source: Alexandria
Functional: PBE
Structure: relaxed

Cell: 2.9723 4.9022 10.0059 Å, 90.00 90.00 90.00°
With the nearest neighbours (Å) after each atom.
Space group Cmm2 (No. 35)
Asymmetric unit:
Re  0.0000  0.0000  0.0000 [2 per cell]  2 Se 2.56, 2 Rh 2.68
Rh  0.0000  0.5000  0.7773 [2 per cell]  2 Se 2.60, 2 Re 2.68, 4 Rh 2.87
Se  0.0000  0.0000  0.5643 [2 per cell]  2 Rh 2.60, 4 Se 2.87
Se  0.0000  0.5000  0.2077 [2 per cell]  2 Re 2.56

* total energy: -6.261 eV per atom
* raw formation energy: 0.43 eV/atom
* relative energy among the computed polymorphs: 0.401 eV per atom


Record 9
Compound: ZnGeTe2
Source: Alexandria
Functional: PBE
Structure: relaxed

Cell: 3.6276 3.6276 28.8083 Å, 90.00 90.00 120.00°
With the nearest neighbours (Å) after each atom.
Space group R-3m (No. 166, hexagonal axes)
Asymmetric unit:
Zn  0.0000  0.0000  0.0000 [3 per cell]  6 Te 2.78
Ge  0.0000  0.0000  0.5000 [3 per cell]  2 Te 2.98
Te  0.0000  0.0000  0.3966 [6 per cell]  3 Zn 2.78, 1 Ge 2.98

* total energy: -2.790 eV per atom
* raw formation energy: 0.25 eV/atom
* relative energy among the computed polymorphs: 0.348 eV per atom


Record 10
Compound: PuInN2
Source: Alexandria
Functional: PBE
Structure: relaxed

Cell: 3.4849 3.4849 19.5087 Å, 90.00 90.00 120.00°
With the nearest neighbours (Å) after each atom.
Space group R-3m (No. 166, hexagonal axes)
Asymmetric unit:
Pu  0.0000  0.0000  0.0000 [3 per cell]  6 N 2.23
In  0.0000  0.0000  0.5000 [3 per cell]  6 N 3.05
N  0.0000  0.0000  0.2843 [6 per cell]  3 Pu 2.23

* total energy: -8.857 eV per atom
* raw formation energy: -0.43 eV/atom


Record 11
Compound: LiAc2Bi
Source: Alexandria
Functional: PBE
Structure: relaxed

Cell: 4.5765 4.5765 24.3438 Å, 90.00 90.00 120.00°
With the nearest neighbours (Å) after each atom.
Space group R3m (No. 160, hexagonal axes)
Asymmetric unit:
Li  0.0000  0.0000  0.0000 [3 per cell]  3 Bi 2.64
Ac  0.0000  0.0000  0.2317 [3 per cell]  3 Bi 3.59, 3 Li 3.62
Ac  0.0000  0.0000  0.4313 [3 per cell]  3 Li 3.56, 3 Bi 3.58
Bi  0.0000  0.0000  0.6651 [3 per cell]  3 Li 2.64

* total energy: -3.884 eV per atom
* E_form: -1.5 eV per formula unit
* relative energy among the computed polymorphs: 0.027 eV per atom


Record 12
Compound: Cs2AlAg2
Source: Alexandria
Functional: PBE
Structure: relaxed

Cell: 7.4684 7.4684 6.0983 Å, 90.00 90.00 90.00°
With the nearest neighbours (Å) after each atom.
Space group P4/mbm (No. 127)
Asymmetric unit:
Cs  0.1774  0.3226  0.0000 [4 per cell]  6 Ag 3.59-3.89, 5 Cs 3.75-3.89
Al  0.0000  0.0000  0.5000 [2 per cell]  4 Ag 2.87
Ag  0.1434  0.6434  0.5000 [4 per cell]  2 Al 2.87, 1 Ag 3.03

* total energy: -1.986 eV per atom
* E_form: 1.2 eV per formula unit
* relative energy among the computed polymorphs: 0.241 eV per atom


Record 13
Compound: La4Pr5Nd2
Source: Alexandria
Functional: PBE
Structure: relaxed

Cell: 18.3014 3.6373 12.0846 Å, 90.00 94.48 90.00°
With the nearest neighbours (Å) after each atom.
Space group C2/m (No. 12)
Asymmetric unit:
La  0.0371  0.0000  0.2634 [4 per cell]  5 Pr 3.44-3.68, 4 La 3.64-3.76, 2 Nd 3.85
La  0.1412  0.5000  0.7984 [4 per cell]  6 Pr 3.54-3.80, 4 La 3.64-3.76, 2 Nd 3.82
Pr  0.0000  0.5000  0.0000 [2 per cell]  6 Pr 3.64-3.78, 6 La 3.68-3.69
Pr  0.0958  0.0000  0.5408 [4 per cell]  4 La 3.44-3.64, 3 Nd 3.56-3.70, 3 Pr 3.57-3.64
Pr  0.1780  0.0000  0.0731 [4 per cell]  4 La 3.54-3.80, 6 Pr 3.64-3.78, 2 Nd 3.93
Nd  0.2161  0.5000  0.3598 [4 per cell]  5 Pr 3.56-3.93, 4 Nd 3.64-3.96, 4 La 3.82-3.85

* total energy: -4.767 eV per atom
* E_form: 0.7 eV per formula unit
* relative energy among the computed polymorphs: 0.011 eV per atom


Record 14
Compound: ScNbGaTe2
Source: Alexandria
Functional: PBE
Structure: relaxed

Cell: 5.3708 5.3708 4.9029 Å, 90.00 90.00 90.00°
With the nearest neighbours (Å) after each atom.
Space group P4/mmm (No. 123)
Asymmetric unit:
Sc  0.0000  0.0000  0.0000 [1 per cell]  2 Ga 2.45
Nb  0.5000  0.5000  0.0000 [1 per cell]  8 Te 3.64, 4 Sc 3.80
Ga  0.0000  0.0000  0.5000 [1 per cell]  2 Sc 2.45, 4 Te 2.69
Te  0.0000  0.5000  0.5000 [2 per cell]  2 Ga 2.69

* total energy: -4.386 eV per atom
* raw formation energy: 0.76 eV/atom


Record 15
Compound: K3Rh
Source: Alexandria
Functional: PBE
Structure: relaxed

Cell: 8.1539 8.1539 8.1539 Å, 90.00 90.00 90.00°
With the nearest neighbours (Å) after each atom.
Space group Fm-3m (No. 225)
Asymmetric unit:
K  0.0000  0.0000  0.0000 [4 per cell]  8 K 3.53
K  0.2500  0.2500  0.2500 [8 per cell]  4 K 3.53, 4 Rh 3.53
Rh  0.0000  0.0000  0.5000 [4 per cell]  8 K 3.53

* total energy: -2.097 eV per atom
* E_form: 2.3 eV per formula unit


Record 16
Compound: SiC3
Source: Alexandria
Functional: PBE
Structure: relaxed

Cell: 3.0061 3.0061 3.9749 Å, 90.00 90.00 90.00°
With the nearest neighbours (Å) after each atom.
Space group P4/mmm (No. 123)
Asymmetric unit:
Si  0.0000  0.0000  0.0000 [1 per cell]  2 C 1.99
C  0.0000  0.0000  0.5000 [1 per cell]  2 Si 1.99
C  0.5000  0.5000  0.3309 [2 per cell]  1 C 1.34

* total energy: -5.776 eV per atom
* raw formation energy: 2.50 eV/atom
* relative energy among the computed polymorphs: 1.999 eV per atom


Record 17
Compound: ZnTcP2
Source: Alexandria
Functional: PBE
Structure: relaxed

Cell: 3.2561 4.1240 4.5626 Å, 90.00 90.00 90.00°
With the nearest neighbours (Å) after each atom.
Space group Pmmm (No. 47)
Asymmetric unit:
Zn  0.0000  0.0000  0.0000 [1 per cell]  4 Tc 2.80, 8 P 2.84
Tc  0.5000  0.0000  0.5000 [1 per cell]  4 P 2.39
P  0.5000  0.5000  0.2359 [2 per cell]  2 P 2.15-2.41, 2 Tc 2.39

* total energy: -5.585 eV per atom
* E_form: 0.1 eV per formula unit


Record 18
Compound: Rb4Na3As2
Source: Alexandria
Functional: PBE
Structure: relaxed

Cell: 19.9428 5.0435 8.2597 Å, 90.00 106.56 90.00°
With the nearest neighbours (Å) after each atom.
Space group C2/m (No. 12)
Asymmetric unit:
Rb  0.0715  0.0000  0.3299 [4 per cell]  2 As 3.50-3.64, 2 Na 3.69
Rb  0.2247  0.5000  0.1711 [4 per cell]  1 Na 3.62, 3 As 3.70
Na  0.0000  0.5000  0.0000 [2 per cell]  2 Na 3.30, 4 As 3.45, 4 Rb 3.69
Na  0.1035  0.5000  0.7513 [4 per cell]  2 As 2.87
As  0.1034  0.0000  0.9178 [4 per cell]  2 Na 2.87

* total energy: -2.126 eV per atom
* E_form: -2.0 eV per formula unit


Record 19
Compound: CsPaSbO6
Source: Alexandria
Functional: PBE
Structure: relaxed

Cell: 7.5626 8.0673 11.0393 Å, 90.00 90.00 90.00°
With the nearest neighbours (Å) after each atom.
Space group Imma (No. 74)
Asymmetric unit:
Cs  0.0000  0.2500  0.1049 [4 per cell]  6 O 3.23-3.60
Pa  0.0000  0.0000  0.5000 [4 per cell]  6 O 2.15-2.16
Sb  0.2500  0.2500  0.7500 [4 per cell]  6 O 2.00-2.01
O  0.0000  0.2500  0.4311 [4 per cell]  2 Pa 2.16
O  0.0000  0.2500  0.8125 [4 per cell]  2 Sb 2.01
O  0.2011  0.0750  0.6265 [16 per cell]  1 Sb 2.00, 1 Pa 2.15

* total energy: -7.137 eV per atom
* raw formation energy: -2.22 eV/atom


Record 20
Compound: LiAcErGa
Source: Alexandria
Functional: PBE
Structure: relaxed

Cell: 7.5582 7.5582 7.5582 Å, 90.00 90.00 90.00°
With the nearest neighbours (Å) after each atom.
Space group F-43m (No. 216)
Asymmetric unit:
Li  0.0000  0.0000  0.0000 [4 per cell]  4 Er 3.27, 4 Ac 3.27
Ac  0.2500  0.2500  0.7500 [4 per cell]  4 Li 3.27, 4 Ga 3.27
Er  0.2500  0.2500  0.2500 [4 per cell]  4 Ga 3.27, 4 Li 3.27
Ga  0.0000  0.0000  0.5000 [4 per cell]  4 Ac 3.27, 4 Er 3.27

* total energy: -3.619 eV per atom
* E_form: -0.9 eV per formula unit